1.
Compound: LiNd2Ni3Ge4
Source: Alexandria
Functional: PBE
Structure: optimized geometry

## Properties
Formation energy = -0.656 eV per atom

a b c (Å): 4.1996 4.1996 9.7760
angles (deg): 90.00 90.00 90.00
Space group P-4m2 (No. 115)
One atom of each set of equivalent atoms:
Li 0.0000 0.0000 0.0000
Nd 0.0000 0.5000 0.7495
Ni 0.0000 0.5000 0.3798
Ni 0.5000 0.5000 0.0000
Ge 0.0000 0.0000 0.5000
Ge 0.0000 0.5000 0.1349
Ge 0.5000 0.5000 0.5000

2.
Compound: LaTmGa2Pd2
Source: Alexandria
Functional: PBE
Structure: optimized geometry

## Properties
Formation energy = -0.859 eV per atom

a b c (Å): 4.5413 4.5413 7.0793
angles (deg): 90.00 90.00 120.00
Space group P-3m1 (No. 164)
One atom of each set of equivalent atoms:
La 0.0000 0.0000 0.0000
Tm 0.0000 0.0000 0.5000
Ga 0.3333 0.6667 0.2839
Pd 0.3333 0.6667 0.7131

3.
Compound: YHoNiSn
Source: Alexandria
Functional: PBE
Structure: optimized geometry

## Properties
Formation energy = -0.454 eV per atom

a b c (Å): 7.1940 7.1940 7.1940
angles (deg): 90.00 90.00 90.00
Space group F-43m (No. 216)
One atom of each set of equivalent atoms:
Y 0.0000 0.0000 0.0000
Ho 0.0000 0.0000 0.5000
Ni 0.2500 0.2500 0.7500
Sn 0.2500 0.2500 0.2500

4.
Compound: YScSe3
Source: Alexandria
Functional: PBE
Structure: optimized geometry

## Properties
Formation energy (no corrections) = -1.7846 eV/atom

a b c (Å): 6.8754 12.1629 6.7488
angles (deg): 90.00 109.77 90.00
Space group C2/m (No. 12)
One atom of each set of equivalent atoms:
Y 0.0000 0.1676 0.0000
Sc 0.0000 0.0000 0.5000
Sc 0.0000 0.5000 0.0000
Se 0.2438 0.3445 0.2521
Se 0.2492 0.0000 0.2570

5.
Compound: Sm2MgZn3Ga4
Source: Alexandria
Functional: PBE
Structure: optimized geometry

## Properties
Formation energy = -0.445 eV per atom

a b c (Å): 4.2479 4.2479 10.8588
angles (deg): 90.00 90.00 90.00
Space group P-4m2 (No. 115)
One atom of each set of equivalent atoms:
Sm 0.0000 0.5000 0.2414
Mg 0.0000 0.0000 0.5000
Zn 0.0000 0.5000 0.8671
Zn 0.5000 0.5000 0.5000
Ga 0.0000 0.0000 0.0000
Ga 0.0000 0.5000 0.6447
Ga 0.5000 0.5000 0.0000

6.
Compound: Pm2Sn2Ge3
Source: Alexandria
Functional: PBE
Structure: optimized geometry

## Properties
Formation energy = -0.407 eV per atom

a b c (Å): 8.9125 8.9125 8.9125
angles (deg): 90.00 90.00 90.00
Space group I2_13 (No. 199)
One atom of each set of equivalent atoms:
Pm 0.2353 0.2353 0.2353
Sn 0.0631 0.4369 0.5631
Ge 0.0000 0.2500 0.9910

no.,total magnetic moment (μB per cell)
1,0.000
2,0.000
3,0.000
4,0.000
5,0.000
6,0.000